No. 1
# UAlV2 | Alexandria | PBE-GGA | optimized geometry
data_UAlV2
_chemical_formula_sum 'U1 Al1 V2'
_symmetry_space_group_name_H-M 'P 4/m m m'
_symmetry_Int_Tables_number 123
_symmetry_space_group_name_Hall '-P 4 2'
_cell_length_a 3.2298
_cell_length_b 3.2298
_cell_length_c 6.1219
_cell_angle_alpha 90.00
_cell_angle_beta 90.00
_cell_angle_gamma 90.00
loop_
_atom_site_label
_atom_site_type_symbol
_atom_site_fract_x
_atom_site_fract_y
_atom_site_fract_z
U1 U 0.0000 0.0000 0.0000
Al1 Al 0.0000 0.0000 0.5000
V1 V 0.5000 0.5000 0.2269
# Energy above the most stable polymorph in this dataset (meV per atom): 137
# DFT total energy (eV/f.u.): -32.77
# Energy relative to the elements (eV/f.u.): 0.502

No. 2
# YUAl4 | Alexandria | PBE-GGA | optimized geometry
data_YUAl4
_chemical_formula_sum 'Y4 U4 Al16'
_symmetry_space_group_name_H-M 'F -4 3 m'
_symmetry_Int_Tables_number 216
_symmetry_space_group_name_Hall 'F -4 2 3'
_cell_length_a 7.8453
_cell_length_b 7.8453
_cell_length_c 7.8453
_cell_angle_alpha 90.00
_cell_angle_beta 90.00
_cell_angle_gamma 90.00
loop_
_atom_site_label
_atom_site_type_symbol
_atom_site_fract_x
_atom_site_fract_y
_atom_site_fract_z
Y1 Y 0.0000 0.0000 0.0000
U1 U 0.2500 0.2500 0.2500
Al1 Al 0.1244 0.1244 0.6244
# DFT total energy (eV/f.u.): -34.17
# Energy relative to the elements (eV/f.u.): -1.445

No. 3
# UAl5Zn | Alexandria | PBE-GGA | optimized geometry
data_UAl5Zn
_chemical_formula_sum 'U1 Al5 Zn1'
_symmetry_space_group_name_H-M 'P 4/m m m'
_symmetry_Int_Tables_number 123
_symmetry_space_group_name_Hall '-P 4 2'
_cell_length_a 4.3548
_cell_length_b 4.3548
_cell_length_c 6.9153
_cell_angle_alpha 90.00
_cell_angle_beta 90.00
_cell_angle_gamma 90.00
loop_
_atom_site_label
_atom_site_type_symbol
_atom_site_fract_x
_atom_site_fract_y
_atom_site_fract_z
U1 U 0.0000 0.0000 0.0000
Al1 Al 0.0000 0.5000 0.2923
Al2 Al 0.5000 0.5000 0.0000
Zn1 Zn 0.0000 0.0000 0.5000
# DFT total energy (eV/f.u.): -31.47
# Energy relative to the elements (eV/f.u.): -0.195

No. 4
# UAlZn | Alexandria | PBE-GGA | optimized geometry
data_UAlZn
_chemical_formula_sum 'U4 Al4 Zn4'
_symmetry_space_group_name_H-M 'P n m a'
_symmetry_Int_Tables_number 62
_cell_length_a 7.6468
_cell_length_b 3.6188
_cell_length_c 8.1528
_cell_angle_alpha 90.00
_cell_angle_beta 90.00
_cell_angle_gamma 90.00
loop_
_symmetry_equiv_pos_as_xyz
'x,y,z'
'-x,-y,-z'
'-x+1/2,-y,z+1/2'
'x+1/2,y,-z+1/2'
'x+1/2,-y+1/2,-z+1/2'
'-x+1/2,y+1/2,z+1/2'
'-x,y+1/2,-z'
'x,-y+1/2,z'
loop_
_atom_site_label
_atom_site_type_symbol
_atom_site_fract_x
_atom_site_fract_y
_atom_site_fract_z
U1 U 0.0067 0.2500 0.1102
Al1 Al 0.1513 0.2500 0.5912
Zn1 Zn 0.1833 0.7500 0.3676
# DFT total energy (eV/f.u.): -16.56
# Energy relative to the elements (eV/f.u.): -0.253

No. 5
# UAlZn | Alexandria | PBE-GGA | optimized geometry
data_UAlZn
_chemical_formula_sum 'U2 Al2 Zn2'
_symmetry_space_group_name_H-M 'I 4 m m'
_symmetry_Int_Tables_number 107
_symmetry_space_group_name_Hall 'I 4 -2'
_cell_length_a 2.7657
_cell_length_b 2.7657
_cell_length_c 13.6216
_cell_angle_alpha 90.00
_cell_angle_beta 90.00
_cell_angle_gamma 90.00
loop_
_atom_site_label
_atom_site_type_symbol
_atom_site_fract_x
_atom_site_fract_y
_atom_site_fract_z
U1 U 0.0000 0.0000 0.0000
Al1 Al 0.0000 0.0000 0.3247
Zn1 Zn 0.0000 0.0000 0.6779
# DFT total energy (eV/f.u.): -16.39
# Energy relative to the elements (eV/f.u.): -0.082

No. 6
# UAl2Zn3 | Alexandria | PBE-GGA | optimized geometry
data_UAl2Zn3
_chemical_formula_sum 'U4 Al8 Zn12'
_symmetry_space_group_name_H-M 'I b a m'
_symmetry_Int_Tables_number 72
_symmetry_space_group_name_Hall '-I 2 2c'
_cell_length_a 5.1882
_cell_length_b 14.8492
_cell_length_c 5.5156
_cell_angle_alpha 90.00
_cell_angle_beta 90.00
_cell_angle_gamma 90.00
loop_
_atom_site_label
_atom_site_type_symbol
_atom_site_fract_x
_atom_site_fract_y
_atom_site_fract_z
U1 U 0.0000 0.0000 0.0000
Al1 Al 0.0011 0.3439 0.0000
Zn1 Zn 0.0000 0.1859 0.2500
Zn2 Zn 0.0000 0.5000 0.2500
# DFT total energy (eV/f.u.): -22.12
# Energy relative to the elements (eV/f.u.): 0.471

No. 7
# UAl4Zn2 | Alexandria | PBE-GGA | optimized geometry
data_UAl4Zn2
_chemical_formula_sum 'U2 Al8 Zn4'
_symmetry_space_group_name_H-M 'C m m m'
_symmetry_Int_Tables_number 65
_symmetry_space_group_name_Hall '-C 2 2'
_cell_length_a 4.7255
_cell_length_b 18.5181
_cell_length_c 2.8040
_cell_angle_alpha 90.00
_cell_angle_beta 90.00
_cell_angle_gamma 90.00
loop_
_atom_site_label
_atom_site_type_symbol
_atom_site_fract_x
_atom_site_fract_y
_atom_site_fract_z
U1 U 0.0000 0.0000 0.0000
Al1 Al 0.0000 0.1538 0.5000
Al2 Al 0.0000 0.2896 0.0000
Zn1 Zn 0.0000 0.4199 0.5000
# DFT total energy (eV/f.u.): -28.78
# Energy relative to the elements (eV/f.u.): 0.024

No. 8
# UAl11Zn | Alexandria | PBE-GGA | optimized geometry
data_UAl11Zn
_chemical_formula_sum 'U2 Al22 Zn2'
_symmetry_space_group_name_H-M 'C 1 2/m 1'
_symmetry_Int_Tables_number 12
_cell_length_a 5.3280
_cell_length_b 12.8097
_cell_length_c 7.0046
_cell_angle_alpha 90.00
_cell_angle_beta 110.97
_cell_angle_gamma 90.00
loop_
_symmetry_equiv_pos_as_xyz
'x,y,z'
'-x,-y,-z'
'-x,y,-z'
'x,-y,z'
'x+1/2,y+1/2,z'
'-x+1/2,-y+1/2,-z'
'-x+1/2,y+1/2,-z'
'x+1/2,-y+1/2,z'
loop_
_atom_site_label
_atom_site_type_symbol
_atom_site_fract_x
_atom_site_fract_y
_atom_site_fract_z
U1 U 0.0000 0.0000 0.0000
Al1 Al 0.0000 0.0000 0.5000
Al2 Al 0.1047 0.3936 0.2153
Al3 Al 0.1678 0.1777 0.3524
Al4 Al 0.2500 0.2500 0.0000
Zn1 Zn 0.0000 0.5000 0.5000
# DFT total energy (eV/f.u.): -53.83
# Energy relative to the elements (eV/f.u.): -0.096

No. 9
# UAlZn11 | Alexandria | PBE-GGA | optimized geometry
data_UAlZn11
_chemical_formula_sum 'U2 Al2 Zn22'
_symmetry_space_group_name_H-M 'C 1 2/m 1'
_symmetry_Int_Tables_number 12
_cell_length_a 5.2708
_cell_length_b 12.5975
_cell_length_c 6.7741
_cell_angle_alpha 90.00
_cell_angle_beta 112.48
_cell_angle_gamma 90.00
loop_
_symmetry_equiv_pos_as_xyz
'x,y,z'
'-x,-y,-z'
'-x,y,-z'
'x,-y,z'
'x+1/2,y+1/2,z'
'-x+1/2,-y+1/2,-z'
'-x+1/2,y+1/2,-z'
'x+1/2,-y+1/2,z'
loop_
_atom_site_label
_atom_site_type_symbol
_atom_site_fract_x
_atom_site_fract_y
_atom_site_fract_z
U1 U 0.0000 0.0000 0.0000
Al1 Al 0.0000 0.0000 0.5000
Zn1 Zn 0.0000 0.5000 0.5000
Zn2 Zn 0.1040 0.3918 0.2135
Zn3 Zn 0.1769 0.1770 0.3527
Zn4 Zn 0.2500 0.2500 0.0000
# DFT total energy (eV/f.u.): -29.54
# Energy relative to the elements (eV/f.u.): -0.497

No. 10
# U2AlZn2 | Alexandria | PBE-GGA | optimized geometry
data_U2AlZn2
_chemical_formula_sum 'U4 Al2 Zn4'
_symmetry_space_group_name_H-M 'C m m m'
_symmetry_Int_Tables_number 65
_symmetry_space_group_name_Hall '-C 2 2'
_cell_length_a 4.8151
_cell_length_b 13.5023
_cell_length_c 2.8238
_cell_angle_alpha 90.00
_cell_angle_beta 90.00
_cell_angle_gamma 90.00
loop_
_atom_site_label
_atom_site_type_symbol
_atom_site_fract_x
_atom_site_fract_y
_atom_site_fract_z
U1 U 0.0000 0.0944 0.0000
Al1 Al 0.0000 0.5000 0.5000
Zn1 Zn 0.0000 0.2994 0.5000
# DFT total energy (eV/f.u.): -29.24
# Energy relative to the elements (eV/f.u.): -0.378

No. 11
# U2AlZn3 | Alexandria | PBE-GGA | optimized geometry
data_U2AlZn3
_chemical_formula_sum 'U4 Al2 Zn6'
_symmetry_space_group_name_H-M 'P 63/m m c'
_symmetry_Int_Tables_number 194
_symmetry_space_group_name_Hall '-P 6c 2c'
_cell_length_a 5.6190
_cell_length_b 5.6190
_cell_length_c 8.1107
_cell_angle_alpha 90.00
_cell_angle_beta 90.00
_cell_angle_gamma 120.00
loop_
_atom_site_label
_atom_site_type_symbol
_atom_site_fract_x
_atom_site_fract_y
_atom_site_fract_z
U1 U 0.3333 0.6667 0.0899
Al1 Al 0.0000 0.0000 0.0000
Zn1 Zn 0.1746 0.3492 0.7500
# DFT total energy (eV/f.u.): -30.29
# Energy relative to the elements (eV/f.u.): -0.154

No. 12
# UAl2Zn9 | Alexandria | PBE-GGA | optimized geometry
data_UAl2Zn9
_chemical_formula_sum 'U4 Al8 Zn36'
_symmetry_space_group_name_H-M 'I 41/a m d'
_symmetry_Int_Tables_number 141
_cell_length_a 10.5694
_cell_length_b 10.5694
_cell_length_c 6.9817
_cell_angle_alpha 90.00
_cell_angle_beta 90.00
_cell_angle_gamma 90.00
loop_
_symmetry_equiv_pos_as_xyz
'x,y,z'
'-x,-y,-z'
'-y+1/4,x+3/4,z+1/4'
'y+1/4,-x+3/4,-z+1/4'
'-x+1/2,-y,z+1/2'
'x+1/2,y,-z+1/2'
'y+1/4,-x+1/4,z+3/4'
'-y+1/4,x+1/4,-z+3/4'
'x,-y,-z'
'-x,y,z'
'-y+1/4,-x+1/4,-z+3/4'
'y+1/4,x+1/4,z+3/4'
'-x+1/2,y,-z+1/2'
'x+1/2,-y,z+1/2'
'y+1/4,x+3/4,-z+1/4'
'-y+1/4,-x+3/4,z+1/4'
'x+1/2,y+1/2,z+1/2'
'-x+1/2,-y+1/2,-z+1/2'
'-y+3/4,x+1/4,z+3/4'
'y+3/4,-x+1/4,-z+3/4'
'-x,-y+1/2,z'
'x,y+1/2,-z'
'y+3/4,-x+3/4,z+1/4'
'-y+3/4,x+3/4,-z+1/4'
'x+1/2,-y+1/2,-z+1/2'
'-x+1/2,y+1/2,z+1/2'
'-y+3/4,-x+3/4,-z+1/4'
'y+3/4,x+3/4,z+1/4'
'-x,y+1/2,-z'
'x,-y+1/2,z'
'y+3/4,x+1/4,-z+3/4'
'-y+3/4,-x+1/4,z+3/4'
loop_
_atom_site_label
_atom_site_type_symbol
_atom_site_fract_x
_atom_site_fract_y
_atom_site_fract_z
U1 U 0.0000 0.2500 0.3750
Al1 Al 0.0000 0.0000 0.0000
Zn1 Zn 0.0000 0.2500 0.8750
Zn2 Zn 0.1207 0.0456 0.6708
# DFT total energy (eV/f.u.): -30.34
# Energy relative to the elements (eV/f.u.): -0.106